PBE-GGA Tl4Hg2Sb, relaxed; SG = No. 64; formation energy from raw total energies = 0.11 eV/atom; energy above the most stable polymorph in this dataset = 88 meV/atom; crystal system = orthorhombic
1.0
10.355 0.000 0.000
0.000 6.240 -2.888
0.000 -0.438 7.240
Hg Sb Tl
4 2 8
Cartesian
5.177 5.087 2.806
0.000 3.836 0.103
0.000 1.966 4.249
5.177 0.716 1.547
5.177 3.120 -1.444
0.000 0.000 0.000
2.589 2.157 2.520
7.766 0.525 3.276
7.894 4.422 -2.046
7.766 3.645 1.832
2.589 5.278 1.077
2.716 4.939 -2.285
7.639 1.301 -0.602
2.461 1.819 -0.842

***

PBE-GGA Tl8Hg2Sb3, relaxed; SG = No. 65; formation energy from raw total energies = 0.04 eV/atom; crystal system = orthorhombic
1.0
-1.730 1.249 -4.844
-4.013 -8.456 -0.748
-8.666 1.207 3.407
Hg Tl Sb
2 8 3
Cartesian
-10.167 -4.693 -0.470
-4.242 -1.306 -1.713
-7.579 -6.448 -1.848
-11.114 -6.355 2.331
-6.559 -1.511 -3.830
-10.022 -1.376 0.333
-4.387 -4.623 -2.517
-6.830 0.449 -0.336
-3.296 0.355 -4.515
-7.850 -4.489 1.647
-0.865 0.625 -2.422
-5.291 -5.802 0.394
-9.119 -0.198 -2.577

***

Number 1: density 9.79 g/cm3. Number 2: density 8.83 g/cm3.